one) Computed, not measured: a geometry-optimized NaLaBiIr structure at the PBE level of DFT.

abc: 5.0363 5.0363 5.0363
angles: 60.00 60.00 60.00
Element x y z (fractional)
Bi 0.0000 0.0000 0.0000
Na 0.7500 0.7500 0.7500
La 0.5000 0.5000 0.5000
Ir 0.2500 0.2500 0.2500

Output
Space group: F-43m (216)
Volume: 90.3 Å³/cell



two) Computed, not measured: a geometry-optimized NaLaBiIr structure at the PBE level of DFT.

abc: 5.0900 5.0900 5.0900
angles: 60.00 60.00 60.00
Element x y z (fractional)
Ir 0.0000 0.0000 0.0000
Bi 0.2500 0.2500 0.2500
Na 0.7500 0.7500 0.7500
La 0.5000 0.5000 0.5000

Output
Space group: F-43m (216)
Volume: 93.2 Å³/cell



The structure with the greatest stability is one).



one) Computed, not measured: a geometry-optimized LiLuBiIr structure at the PBE level of DFT.

abc: 4.7495 4.7495 4.7495
angles: 60.00 60.00 60.00
Element x y z (fractional)
Li 0.7500 0.7500 0.7500
Ir 0.2500 0.2500 0.2500
Bi 0.0000 0.0000 0.0000
Lu 0.5000 0.5000 0.5000

Output
Space group: F-43m (216)
Volume: 75.8 Å³/cell



two) Computed, not measured: a geometry-optimized LiLuBiIr structure at the PBE level of DFT.

abc: 4.7751 4.7751 4.7751
angles: 60.00 60.00 60.00
Element x y z (fractional)
Bi 0.2500 0.2500 0.2500
Li 0.7500 0.7500 0.7500
Lu 0.5000 0.5000 0.5000
Ir 0.0000 0.0000 0.0000

Output
Space group: F-43m (216)
Volume: 77.0 Å³/cell



three) Computed, not measured: a geometry-optimized LiLuBiIr structure at the PBE level of DFT.

abc: 4.8354 4.8354 4.8354
angles: 60.00 60.00 60.00
Element x y z (fractional)
Lu 0.2500 0.2500 0.2500
Li 0.7500 0.7500 0.7500
Ir 0.0000 0.0000 0.0000
Bi 0.5000 0.5000 0.5000

Output
Space group: F-43m (216)
Volume: 79.9 Å³/cell



The structure with the greatest stability is one).



one) Computed, not measured: a geometry-optimized NaBiIr structure at the PBE level of DFT.

abc: 4.5559 4.5559 4.5559
angles: 60.00 60.00 60.00
Element x y z (fractional)
Ir 0.7500 0.7500 0.7500
Bi 0.2500 0.2500 0.2500
Na 0.0000 0.0000 0.0000

Output
Space group: F-43m (216)
Volume: 66.9 Å³/cell



two) Computed, not measured: a geometry-optimized NaBiIr structure at the PBE level of DFT.

abc: 4.6134 4.6134 4.6134
angles: 60.00 60.00 60.00
Element x y z (fractional)
Ir 0.0000 0.0000 0.0000
Bi 0.2500 0.2500 0.2500
Na 0.7500 0.7500 0.7500

Output
Space group: F-43m (216)
Volume: 69.4 Å³/cell



The structure with the greatest stability is two).